# BeTl2Ag GGA-PBE relaxed
# **Electronic total energy**: -0.08776 Ha/atom
# **E_form**: 0.439 eV/atom
data_BeTl2Ag
_chemical_formula_sum 'Be3 Tl6 Ag3'
_space_group_name_H-M_alt 'R -3 m'
_space_group_IT_number 166
_space_group_name_Hall '-R 3 2"'
_cell_length_a 3.3580
_cell_length_b 3.3580
_cell_length_c 25.8638
_cell_angle_alpha 90.00
_cell_angle_beta 90.00
_cell_angle_gamma 120.00
loop_
_atom_site_label
_atom_site_fract_x
_atom_site_fract_y
_atom_site_fract_z
Be1 0.0000 0.0000 0.0000
Tl1 0.0000 0.0000 0.2580
Ag1 0.0000 0.0000 0.5000